VASP calculation (PBE) on LiAc4Sn3 after structural relaxation.

The total energy is -4.332 eV per atom.

It has space group Pmm2 (No. 25), with a = 4.669 Å, b = 4.887 Å, c = 12.393 Å, α = 90.00°, β = 90.00° and γ = 90.00°. Symmetry generates all atoms from Li at (0.000, 0.000, 0.000), Ac at (0.000, 0.000, 0.697), Ac at (0.000, 0.500, 0.197), Ac at (0.500, 0.000, 0.417), Ac at (0.500, 0.500, 0.918), Sn at (0.000, 0.500, 0.474), Sn at (0.500, 0.000, 0.130) and Sn at (0.500, 0.500, 0.640).


VASP calculation (PBE) on LiAcSn after structural relaxation.

The energy above the most stable polymorph in this dataset is 80 meV/atom.

It has space group P-6m2 (No. 187), with a = 4.8882 Å, b = 4.8882 Å, c = 4.2746 Å, α = 90.00°, β = 90.00° and γ = 120.00°. Symmetry generates all atoms from Li at (0.0000, 0.0000, 0.0000), Ac at (0.3333, 0.6667, 0.5000) and Sn at (0.6667, 0.3333, 0.0000).


So what do the calculations give for M_tot? Going down the list: 0.2 0.2 μB/f.u..
So what do the calculations give for Fermi-level density of states? Going down the list: 7.5 1.2 states/eV/f.u..